[1]
The following is a DFT calculation (PBE) of crystalline RbCdIn2 at its relaxed geometry.

a = 4.686 Å, b = 4.686 Å, c = 12.096 Å
α = 90.00°, β = 90.00°, γ = 90.00°
Positions (direct):
In: 0.500 0.500 0.500
In: 0.000 0.500 0.065
In: 0.000 0.000 0.500
In: 0.500 0.000 0.935
Cd: 0.000 0.500 0.334
Cd: 0.500 0.000 0.666
Rb: 0.500 0.000 0.229
Rb: 0.000 0.500 0.771

Computed properties:
Its space group is P4/nmm. For the density of states at the Fermi level, the calculation gives 4.17 states/eV per cell. Its magnetic moment is 0.0 Bohr magnetons per cell. The calculation puts the formation energy at 0.0109 eV per atom.



[2]
The following is a DFT calculation (PBE) of crystalline Rb3Cd4In4 at its relaxed geometry.

a = 8.089 Å, b = 8.089 Å, c = 8.089 Å
α = 109.47°, β = 109.47°, γ = 109.47°
Positions (direct):
Cd: 0.622 0.000 0.000
Cd: 0.378 0.378 0.378
Cd: 0.000 0.000 0.622
Cd: 0.000 0.622 0.000
Rb: 0.500 0.000 0.500
Rb: 0.000 0.500 0.500
Rb: 0.500 0.500 0.000
In: 0.254 0.000 0.000
In: 0.000 0.254 0.000
In: 0.000 0.000 0.254
In: 0.746 0.746 0.746

Computed properties:
Its space group is I-43m. For the density of states at the Fermi level, the calculation gives 5.45 states/eV per cell. Its magnetic moment is 0.0 Bohr magnetons per cell. The calculation puts the formation energy at -0.0634 eV per atom.



[3]
The following is a DFT calculation (PBE) of crystalline RbCd10In2 at its relaxed geometry.

a = 8.000 Å, b = 8.000 Å, c = 10.613 Å
α = 90.00°, β = 90.00°, γ = 100.00°
Positions (direct):
Cd: 0.153 0.847 0.891
Cd: 0.391 0.609 0.060
Cd: 0.769 0.517 0.250
Cd: 0.842 0.611 0.750
Cd: 0.847 0.153 0.109
Cd: 0.153 0.847 0.609
Cd: 0.216 0.216 0.500
Cd: 0.609 0.391 0.560
Cd: 0.231 0.483 0.750
Cd: 0.216 0.216 0.000
Cd: 0.611 0.842 0.250
Cd: 0.483 0.231 0.250
Cd: 0.784 0.784 0.500
Cd: 0.847 0.153 0.391
Cd: 0.609 0.391 0.940
Cd: 0.389 0.158 0.750
Cd: 0.784 0.784 0.000
Cd: 0.158 0.389 0.250
Cd: 0.517 0.769 0.750
Cd: 0.391 0.609 0.440
Rb: 0.130 0.870 0.250
Rb: 0.870 0.130 0.750
In: 0.000 0.500 0.500
In: 0.000 0.500 0.000
In: 0.500 0.000 0.000
In: 0.500 0.000 0.500

Computed properties:
Its space group is Cmcm. For the density of states at the Fermi level, the calculation gives 9.94 states/eV per cell. Its magnetic moment is 0.0 Bohr magnetons per cell. The calculation puts the formation energy at -0.0141 eV per atom.



[4]
The following is a DFT calculation (PBE) of crystalline Rb2CdIn3 at its relaxed geometry.

a = 5.328 Å, b = 6.743 Å, c = 6.972 Å
α = 82.60°, β = 67.54°, γ = 66.73°
Positions (direct):
Rb: 0.424 0.824 0.328
Rb: 0.578 0.175 0.669
In: 0.840 0.578 0.741
In: 0.163 0.762 0.913
In: 0.839 0.242 0.079
Cd: 0.156 0.419 0.270

Computed properties:
Its space group is Cm. For the density of states at the Fermi level, the calculation gives 2.75 states/eV per cell. Its magnetic moment is 0.0 Bohr magnetons per cell. The calculation puts the formation energy at -0.0979 eV per atom.



[5]
The following is a DFT calculation (PBE) of crystalline RbCdIn at its relaxed geometry.

a = 4.717 Å, b = 7.307 Å, c = 8.822 Å
α = 54.21°, β = 89.98°, γ = 71.15°
Positions (direct):
In: 0.580 0.130 0.698
In: 0.014 0.263 0.897
Cd: 0.673 0.944 0.113
Cd: 0.921 0.449 0.482
Rb: 0.217 0.856 0.506
Rb: 0.377 0.537 0.090

Computed properties:
Its space group is C2/m. For the density of states at the Fermi level, the calculation gives 2.54 states/eV per cell. The polymorph energy (0 for the lowest one) is 0.0000 eV/atom. Its magnetic moment is 0.0 Bohr magnetons per cell. The calculation puts the formation energy at -0.0773 eV per atom.



[6]
The following is a DFT calculation (PBE) of crystalline RbCd2In3 at its relaxed geometry.

a = 5.952 Å, b = 8.059 Å, c = 8.059 Å
α = 103.36°, β = 90.00°, γ = 90.00°
Positions (direct):
In: 0.750 0.447 0.082
In: 0.250 0.553 0.918
In: 0.250 0.918 0.553
In: 0.250 0.938 0.938
In: 0.750 0.062 0.062
In: 0.750 0.082 0.447
Rb: 0.750 0.668 0.668
Rb: 0.250 0.332 0.332
Cd: 0.500 0.228 0.772
Cd: 0.500 0.772 0.228
Cd: 0.000 0.772 0.228
Cd: 0.000 0.228 0.772

Computed properties:
Its space group is Cmcm. For the density of states at the Fermi level, the calculation gives 4.03 states/eV per cell. Its magnetic moment is 0.0 Bohr magnetons per cell. The calculation puts the formation energy at -0.0563 eV per atom.



[7]
The following is a DFT calculation (PBE) of crystalline RbCdIn at its relaxed geometry.

a = 3.635 Å, b = 7.126 Å, c = 9.129 Å
α = 113.02°, β = 101.50°, γ = 89.95°
Positions (direct):
Cd: 0.009 0.433 0.137
Cd: 0.801 0.225 0.721
In: 0.405 0.056 0.929
In: 0.405 0.603 0.929
Rb: 0.091 0.015 0.301
Rb: 0.719 0.643 0.557

Computed properties:
Its space group is C2/m. For the density of states at the Fermi level, the calculation gives 2.69 states/eV per cell. The polymorph energy (0 for the lowest one) is 0.0676 eV/atom. Its magnetic moment is 0.0 Bohr magnetons per cell. The calculation puts the formation energy at -0.0097 eV per atom.



[8]
The following is a DFT calculation (PBE) of crystalline Rb2Cd3In5 at its relaxed geometry.

a = 6.976 Å, b = 10.105 Å, c = 10.105 Å
α = 80.17°, β = 69.81°, γ = 69.81°
Positions (direct):
In: 0.126 0.009 0.739
In: 0.497 0.253 0.253
In: 0.003 0.747 0.747
In: 0.874 0.991 0.261
In: 0.997 0.253 0.253
In: 0.374 0.261 0.991
In: 0.250 0.500 0.500
In: 0.750 0.500 0.500
In: 0.503 0.747 0.747
In: 0.626 0.739 0.009
Rb: 0.625 0.123 0.627
Rb: 0.125 0.627 0.123
Rb: 0.375 0.877 0.373
Rb: 0.875 0.373 0.877
Cd: 0.250 0.000 0.000
Cd: 0.624 0.515 0.236
Cd: 0.376 0.485 0.764
Cd: 0.750 0.000 0.000
Cd: 0.876 0.764 0.485
Cd: 0.124 0.236 0.515

Computed properties:
Its space group is Ibam. For the density of states at the Fermi level, the calculation gives 8.57 states/eV per cell. Its magnetic moment is 0.0 Bohr magnetons per cell. The calculation puts the formation energy at -0.0829 eV per atom.